## Hf2Pd2Pt (PBE)

Data for a relaxed Hf2Pd2Pt crystal.

Values from the calculation:
Formation enthalpy at 0 K = -3.37 eV/f.u.
Energy above the lowest structure with this stoichiometry = 73.1 meV/atom

Geometry as POSCAR:
```
Hf2Pd2Pt
1.0
-3.5753 3.5639 1.6475
-4.6586 -4.0728 -1.2996
4.4687 -1.8311 5.1008
Hf Pd Pt
4 4 2
direct
0.3353 0.5567 0.6707
0.6647 0.4433 0.3293
0.1647 0.8860 0.3293
0.8353 0.1140 0.6707
0.8935 0.7564 0.7870
0.1065 0.2436 0.2130
0.6065 0.9694 0.2130
0.3935 0.0306 0.7870
0.7500 0.5000 0.0000
0.2500 0.5000 0.0000
```

---

## HfPd3Pt3 (PBE)

Data for a relaxed HfPd3Pt3 crystal.

Values from the calculation:
Formation enthalpy at 0 K = -2.74 eV/f.u.

Geometry as POSCAR:
```
HfPd3Pt3
1.0
-1.0190 -1.5880 -7.5982
2.8148 -7.2173 1.1309
-7.2340 -2.5846 1.5103
Hf Pd Pt
4 12 12
direct
0.1262 0.6262 0.8738
0.8738 0.1262 0.6262
0.3738 0.3738 0.3738
0.6262 0.8738 0.1262
0.7999 0.2999 0.2001
0.9374 0.9374 0.9374
0.8490 0.6510 0.3490
0.2001 0.7999 0.2999
0.1510 0.1510 0.1510
0.3490 0.8490 0.6510
0.0626 0.4374 0.5626
0.2999 0.2001 0.7999
0.6510 0.3490 0.8490
0.7001 0.7001 0.7001
0.5626 0.0626 0.4374
0.4374 0.5626 0.0626
0.8070 0.6055 0.0144
0.8945 0.9856 0.3070
0.0144 0.8070 0.6055
0.1055 0.4856 0.1930
0.1930 0.1055 0.4856
0.3070 0.8945 0.9856
0.9856 0.3070 0.8945
0.3945 0.5144 0.6930
0.4856 0.1930 0.1055
0.6055 0.0144 0.8070
0.6930 0.3945 0.5144
0.5144 0.6930 0.3945
```

---

## HfPd5Pt2 (PBE)

Data for a relaxed HfPd5Pt2 crystal.

Values from the calculation:
Formation enthalpy at 0 K = -2.88 eV/f.u.
Energy above the lowest structure with this stoichiometry = 163.0 meV/atom

Geometry as POSCAR:
```
HfPd5Pt2
1.0
4.6322 0.0541 -1.2648
-2.2420 4.0762 1.1168
-2.6496 0.9338 15.1672
Hf Pd Pt
2 10 4
direct
0.2479 0.3342 0.2506
0.7521 0.6658 0.7494
0.4174 0.8868 0.4134
0.4235 0.7789 0.0867
0.0740 0.2201 0.4119
0.1005 0.1118 0.0886
0.0840 0.3321 0.7509
0.9160 0.6679 0.2491
0.8995 0.8882 0.9114
0.9260 0.7799 0.5881
0.5826 0.1132 0.5866
0.5765 0.2211 0.9133
0.2408 0.5614 0.9111
0.2542 0.4358 0.5908
0.7458 0.5642 0.4092
0.7592 0.4386 0.0889
```